Entry 1:
# LaNbSCl2

A crystal of LaNbSCl2 relaxed with PBEsol (meta-GGA SCAN, Alexandria via LeMat-Bulk).

a = 4.811 Å, b = 4.761 Å, c = 4.761 Å
α = 90.00°, β = 90.00°, γ = 90.00°
Site moments in Bohr magnetons follow the coordinates.
Fractional positions:
1 Nb 0.000 0.000 0.000  1.00
2 Cl 0.000 0.000 0.500  0.03
3 Cl 0.000 0.500 0.000  0.03
4 S 0.500 0.000 0.000  -0.01
5 La 0.500 0.500 0.500  0.12

Summary:
Total DFT energy (no corrections) = -107.294 eV/cell

***

Entry 2:
# LaNbS2Cl

A crystal of LaNbS2Cl relaxed with PBEsol (meta-GGA SCAN, Alexandria via LeMat-Bulk).

a = 5.208 Å, b = 5.444 Å, c = 5.444 Å
α = 90.00°, β = 90.00°, γ = 90.00°
Site moments in Bohr magnetons follow the coordinates.
Fractional positions:
1 Nb 0.500 0.500 0.500  2.60
2 Cl 0.500 0.000 0.000  0.02
3 S 0.000 0.000 0.500  -0.12
4 S 0.000 0.500 0.000  -0.12
5 La 0.000 0.000 0.000  0.01

Summary:
Total DFT energy (no corrections) = -105.635 eV/cell

***

Entry 3:
# LaZrNb2Cl

A crystal of LaZrNb2Cl relaxed with PBEsol (meta-GGA SCAN, Alexandria via LeMat-Bulk).

a = 4.950 Å, b = 4.950 Å, c = 5.144 Å
α = 90.00°, β = 90.00°, γ = 90.00°
Site moments in Bohr magnetons follow the coordinates.
Fractional positions:
1 Nb 0.000 0.500 0.000  0.69
2 Nb 0.500 0.000 0.000  0.69
3 Cl 0.000 0.000 0.500  0.07
4 Zr 0.000 0.000 0.000  -0.07
5 La 0.500 0.500 0.500  0.14

Summary:
Total DFT energy (no corrections) = -144.355 eV/cell

***

Entry 4:
# LaNi2Cl

A crystal of LaNi2Cl relaxed with PBEsol (meta-GGA SCAN, Alexandria via LeMat-Bulk).

a = 3.747 Å, b = 3.747 Å, c = 5.607 Å
α = 90.00°, β = 90.00°, γ = 90.00°
Site moments in Bohr magnetons follow the coordinates.
Fractional positions:
1 Cl 0.500 0.500 0.000  0.00
2 La 0.500 0.500 0.500  -0.01
3 Ni 0.000 0.000 0.705  0.06
4 Ni 0.000 0.000 0.295  0.06

Summary:
Total DFT energy (no corrections) = -84.228 eV/cell

***

Entry 5:
# LaCl2O

A crystal of LaCl2O relaxed with PBEsol (meta-GGA SCAN, Alexandria via LeMat-Bulk).

a = 4.733 Å, b = 4.733 Å, c = 4.733 Å
α = 60.00°, β = 60.00°, γ = 60.00°
Site moments in Bohr magnetons follow the coordinates.
Fractional positions:
1 Cl 0.250 0.250 0.250  0.04
2 Cl 0.750 0.750 0.750  0.04
3 O 0.500 0.500 0.500  0.82
4 La 0.000 0.000 0.000  -0.04

Summary:
Total DFT energy (no corrections) = -72.455 eV/cell

***

Entry 6:
# La4S4Cl2O

A crystal of La4S4Cl2O relaxed with PBEsol (meta-GGA SCAN, Alexandria via LeMat-Bulk).

a = 6.942 Å, b = 9.143 Å, c = 9.258 Å
α = 60.41°, β = 90.00°, γ = 90.00°
Fractional positions:
1 La 0.789 0.681 0.639
2 La 0.289 0.319 0.361
3 La 0.238 0.806 0.388
4 La 0.256 0.391 0.800
5 La 0.256 0.808 0.800
6 La 0.738 0.194 0.612
7 La 0.756 0.609 0.200
8 La 0.756 0.192 0.200
9 S 0.538 0.537 0.925
10 S 0.522 0.949 0.521
11 S 0.522 0.530 0.521
12 S 0.038 0.463 0.075
13 S 0.022 0.051 0.479
14 S 0.022 0.470 0.479
15 S 0.858 0.867 0.265
16 S 0.358 0.133 0.735
17 Cl 0.859 0.269 0.867
18 Cl 0.859 0.864 0.867
19 Cl 0.359 0.731 0.133
20 Cl 0.359 0.136 0.133
21 O 0.135 0.668 0.664
22 O 0.635 0.332 0.336

Summary:
Total DFT energy (no corrections) = -527.811 eV/cell